[1]
An optimized crystal structure of IrBr2. Source: Alexandria, functional PBE.

Output
Raw formation energy = 0.11 eV/atom
E = -47.45 eV per cell

a b c (Å): 13.9527 3.6902 7.7309
angles (deg): 90.00 111.33 90.00
Last column: nearest neighbours and their distance in Å.
Space group C2/m (No. 12)
One atom of each set of equivalent atoms:
Ir 0.0200 0.0000 0.1848  4 Br 2.47, 1 Ir 2.70
Br 0.0963 0.5000 0.8098  2 Ir 2.47
Br 0.1462 0.5000 0.2681  2 Ir 2.47

---

[2]
An optimized crystal structure of Sc2ZnCuPt2. Source: Alexandria, functional PBE.

Output
Energy of formation from the pure elements = -0.8375 eV/atom
E = -140.56 eV per cell

a b c (Å): 5.4296 14.1188 5.4489
angles (deg): 90.00 90.00 90.00
Last column: nearest neighbours and their distance in Å.
Space group Ibam (No. 72)
One atom of each set of equivalent atoms:
Sc 0.2412 0.1754 0.0000  5 Pt 2.73-2.80
Zn 0.0000 0.5000 0.2500  4 Pt 2.65, 2 Cu 2.71, 2 Zn 2.72
Cu 0.0000 0.0000 0.2500  4 Pt 2.68, 2 Zn 2.71, 2 Cu 2.72
Pt 0.2443 0.3691 0.0000  2 Zn 2.65, 2 Cu 2.68, 5 Sc 2.73-2.80

---

[3]
An optimized crystal structure of CdAg2P. Source: Alexandria, functional PBE.

Output
Energy of formation from the pure elements = 0.1924 eV/atom
E = -33.77 eV per cell
Energy above the lowest structure with this stoichiometry = 0.16 eV/f.u.

a b c (Å): 3.0581 3.0581 26.8849
angles (deg): 90.00 90.00 120.00
Last column: nearest neighbours and their distance in Å.
Space group R-3m (No. 166, hexagonal axes)
One atom of each set of equivalent atoms:
Cd 0.0000 0.0000 0.0000  6 Ag 2.99, 6 Cd 3.06
Ag 0.0000 0.0000 0.2434  3 P 2.72, 3 Cd 2.99
P 0.0000 0.0000 0.5000  6 Ag 2.72

---

[4]
An optimized crystal structure of MnInCo2. Source: Alexandria, functional PBE.

Output
Energy of formation from the pure elements = 0.1384 eV/atom
E = -51.13 eV per cell

a b c (Å): 3.1458 4.2088 8.4620
angles (deg): 90.00 90.00 90.00
Last column: nearest neighbours and their distance in Å.
Space group Imm2 (No. 44)
One atom of each set of equivalent atoms:
Mn 0.0000 0.0000 0.0000  6 Co 2.60-2.64, 4 In 2.78-2.86
In 0.0000 0.5000 0.2286  8 Co 2.63-2.93, 4 Mn 2.78-2.86
Co 0.0000 0.0000 0.4695  2 Co 2.47, 4 Mn 2.64, 2 In 2.70
Co 0.0000 0.5000 0.7443  2 Co 2.47, 2 Mn 2.60, 4 In 2.63

---

[5]
An optimized crystal structure of Zn2CdNi5B2. Source: Alexandria, functional PBE.

Output
Energy of formation from the pure elements = -0.1395 eV/atom
E = -94.24 eV per cell

a b c (Å): 8.9078 8.9078 2.9012
angles (deg): 90.00 90.00 90.00
Last column: nearest neighbours and their distance in Å.
Space group P4/mbm (No. 127)
One atom of each set of equivalent atoms:
Zn 0.1797 0.3203 0.0000  3 B 2.53-2.72, 10 Ni 2.69-2.76
Cd 0.0000 0.0000 0.0000  8 Ni 2.61, 2 Cd 2.90
Ni 0.0000 0.5000 0.5000  4 B 2.09
Ni 0.0691 0.7667 0.5000  2 B 2.01
B 0.1196 0.6196 0.0000  6 Ni 2.01-2.09

---

[6]
An optimized crystal structure of ThTiS4. Source: Alexandria, functional PBE.

Output
Raw formation energy = -1.41 eV/atom
E = -80.58 eV per cell

a b c (Å): 6.4796 6.4681 6.5366
angles (deg): 90.00 99.95 90.00
Last column: nearest neighbours and their distance in Å.
Space group P2_1/c (No. 14)
One atom of each set of equivalent atoms:
Th 0.0000 0.0000 0.0000  4 S 2.68-2.78
Ti 0.5000 0.0000 0.5000  6 S 2.30-2.57
S 0.1841 0.1599 0.3827  1 Ti 2.30
S 0.3339 0.7064 0.2622  2 Ti 2.55-2.57

---

[7]
An optimized crystal structure of CeThAs2Rh5. Source: Alexandria, functional PBE.

Output
Energy of formation from the pure elements = -0.6553 eV/atom
E = -65.31 eV per cell

a b c (Å): 4.0706 4.0706 11.4307
angles (deg): 90.00 90.00 90.00
Last column: nearest neighbours and their distance in Å.
Space group P4/mmm (No. 123)
One atom of each set of equivalent atoms:
Ce 0.0000 0.0000 0.0000  4 Rh 2.88
Th 0.0000 0.0000 0.5000  8 Rh 2.90
As 0.5000 0.5000 0.2096  5 Rh 2.39-2.40
Rh 0.0000 0.5000 0.3196  2 As 2.39
Rh 0.5000 0.5000 0.0000  2 As 2.40

---

[8]
An optimized crystal structure of KMo2Au. Source: Alexandria, functional PBE.

Output
Energy of formation from the pure elements = 1.6254 eV/atom
E = -78.14 eV per cell
Energy above the lowest structure with this stoichiometry = 4.47 eV/f.u.

a b c (Å): 6.6466 6.6466 6.6466
angles (deg): 90.00 90.00 90.00
Last column: nearest neighbours and their distance in Å.
Space group Fm-3m (No. 225)
One atom of each set of equivalent atoms:
K 0.0000 0.0000 0.0000  8 Mo 2.88
Mo 0.2500 0.2500 0.2500  4 K 2.88, 4 Au 2.88
Au 0.0000 0.0000 0.5000  8 Mo 2.88

---

[9]
An optimized crystal structure of FeTcBiS2. Source: Alexandria, functional PBE.

Output
Raw formation energy = 0.78 eV/atom
E = -27.05 eV per cell

a b c (Å): 4.3329 4.3329 5.7734
angles (deg): 90.00 90.00 90.00
Last column: nearest neighbours and their distance in Å.
Space group P4/mmm (No. 123)
One atom of each set of equivalent atoms:
Fe 0.0000 0.0000 0.0000  4 S 2.17
Tc 0.5000 0.5000 0.5000  4 Bi 3.06
Bi 0.0000 0.0000 0.5000  2 Fe 2.89, 4 Tc 3.06
S 0.0000 0.5000 0.0000  2 Fe 2.17

---

[10]
An optimized crystal structure of SiHgAs2. Source: Alexandria, functional PBE.

Output
Raw formation energy = 0.09 eV/atom
E = -14.66 eV per cell

a b c (Å): 3.8698 4.2085 6.2120
angles (deg): 90.00 90.01 90.00
Last column: nearest neighbours and their distance in Å.
Space group Pm (No. 6)
One atom of each set of equivalent atoms:
Si 0.0000 0.0000 0.0000  4 As 2.42-2.47
Hg 0.5031 0.5000 0.4917  4 As 2.65-2.69
As 0.0023 0.5000 0.7916  2 Si 2.47, 2 Hg 2.68-2.69
As 0.5001 0.0000 0.2335  2 Si 2.42, 2 Hg 2.65

---

[11]
An optimized crystal structure of Ba2Ga4HgPt3. Source: Alexandria, functional PBE.

Output
Energy of formation from the pure elements = -0.6693 eV/atom
E = -41.07 eV per cell

a b c (Å): 4.5943 4.5943 10.6801
angles (deg): 90.00 90.00 90.00
Last column: nearest neighbours and their distance in Å.
Space group P-4m2 (No. 115)
One atom of each set of equivalent atoms:
Ba 0.0000 0.5000 0.2456  8 Ga 3.49, 7 Pt 3.52-3.88, 2 Hg 3.56
Ga 0.0000 0.0000 0.0000  4 Pt 2.62
Ga 0.0000 0.5000 0.6352  3 Pt 2.64-2.71, 2 Hg 2.71
Ga 0.5000 0.5000 0.0000  4 Pt 2.62
Hg 0.0000 0.0000 0.5000  4 Ga 2.71
Pt 0.0000 0.5000 0.8820  5 Ga 2.62-2.64
Pt 0.5000 0.5000 0.5000  4 Ga 2.71

---

[12]
An optimized crystal structure of Rb3MgBe. Source: Alexandria, functional PBE.

Output
Energy of formation from the pure elements = 0.6822 eV/atom
E = -4.81 eV per cell
Energy above the lowest structure with this stoichiometry = 0.00 eV/f.u.

a b c (Å): 6.6879 6.6879 6.6879
angles (deg): 90.00 90.00 90.00
Last column: nearest neighbours and their distance in Å.
Space group Pm-3m (No. 221)
One atom of each set of equivalent atoms:
Rb 0.0000 0.0000 0.5000  2 Be 3.34
Mg 0.5000 0.5000 0.5000  12 Rb 4.73
Be 0.0000 0.0000 0.0000  6 Rb 3.34

---

[13]
An optimized crystal structure of AgHgTe4Pb2. Source: Alexandria, functional PBE.

Output
Raw formation energy = -0.17 eV/atom
E = -24.47 eV per cell

a b c (Å): 7.6718 4.4187 7.7308
angles (deg): 90.00 110.76 90.00
Last column: nearest neighbours and their distance in Å.
Space group P2/m (No. 10)
One atom of each set of equivalent atoms:
Ag 0.0000 0.0000 0.0000  6 Te 2.98-3.08
Hg 0.0000 0.5000 0.5000  6 Te 3.04-3.14
Te 0.2257 0.5000 0.2319  2 Ag 2.98, 1 Hg 3.14, 3 Pb 3.21-3.24
Te 0.2317 0.0000 0.7457  2 Hg 3.04, 1 Ag 3.08, 3 Pb 3.18-3.26
Pb 0.5000 0.0000 0.5000  6 Te 3.24-3.26
Pb 0.5000 0.5000 0.0000  6 Te 3.18-3.21

---

[14]
An optimized crystal structure of SiBAsRhS. Source: Alexandria, functional PBE.

Output
Raw formation energy = -0.20 eV/atom
E = -58.47 eV per cell
Energy above the lowest structure with this stoichiometry = 0.00 eV/f.u.

a b c (Å): 10.2290 3.0794 5.2501
angles (deg): 90.00 113.72 90.00
Last column: nearest neighbours and their distance in Å.
Space group Cm (No. 8)
One atom of each set of equivalent atoms:
Si 0.0000 0.0000 0.0000  1 S 2.26, 2 Rh 2.33, 1 As 2.36
B 0.1418 0.5000 0.5979  2 S 2.00, 1 As 2.12, 1 Rh 2.14
As 0.3330 0.5000 0.5321  1 B 2.12, 1 Si 2.36
Rh 0.4355 0.0000 0.2628  1 B 2.14, 2 Si 2.33
S 0.1826 0.0000 0.8617  2 B 2.00

---

[15]
An optimized crystal structure of K2SrCrSb. Source: Alexandria, functional PBE.

Output
Raw formation energy = 0.83 eV/atom
E = -13.48 eV per cell

a b c (Å): 7.3813 7.3813 5.9773
angles (deg): 90.00 90.00 90.00
Last column: nearest neighbours and their distance in Å.
Space group P4/mmm (No. 123)
One atom of each set of equivalent atoms:
K 0.0000 0.5000 0.0000  2 Sr 3.69
Sr 0.0000 0.0000 0.0000  2 Sb 2.99
Cr 0.5000 0.5000 0.5000  8 K 4.75, 4 Sb 5.22
Sb 0.0000 0.0000 0.5000  2 Sr 2.99

---

[16]
An optimized crystal structure of Zr3Pd2. Source: Alexandria, functional PBE.

Output
Energy of formation from the pure elements = -0.4925 eV/atom
E = -76.98 eV per cell
Energy above the lowest structure with this stoichiometry = 0.00 eV/f.u.

a b c (Å): 7.7459 7.7459 3.3457
angles (deg): 90.00 90.00 90.00
Last column: nearest neighbours and their distance in Å.
Space group P4/mbm (No. 127)
One atom of each set of equivalent atoms:
Zr 0.0000 0.0000 0.0000  4 Pd 3.05, 10 Zr 3.32-3.35
Zr 0.1710 0.3290 0.5000  6 Pd 2.77-2.87
Pd 0.1271 0.6271 0.0000  8 Zr 2.77-3.05, 1 Pd 2.79

---

[17]
An optimized crystal structure of LiH3PdPt. Source: Alexandria, functional PBE.

Output
E = -48.76 eV per cell

a b c (Å): 6.3257 2.9050 6.8287
angles (deg): 90.00 96.91 90.00
Last column: nearest neighbours and their distance in Å.
Space group P2_1/m (No. 11)
One atom of each set of equivalent atoms:
Li 0.1765 0.2500 0.3080  3 H 2.19-2.30
H 0.1842 0.2500 0.6456  1 Pt 1.78, 2 Pd 1.90
H 0.2989 0.7500 0.9064  2 Pt 1.80, 1 Pd 2.00
H 0.4356 0.7500 0.3702  3 Pd 1.86-1.88
Pd 0.3753 0.7500 0.6304  6 H 1.86-2.00
Pt 0.1295 0.2500 0.8960  3 H 1.78-1.80

---

[18]
An optimized crystal structure of Sr2NbAuN. Source: Alexandria, functional PBE.

Output
Raw formation energy = 0.91 eV/atom
E = -20.51 eV per cell

a b c (Å): 6.2459 6.2459 3.8580
angles (deg): 90.00 90.00 90.00
Last column: nearest neighbours and their distance in Å.
Space group P4/mmm (No. 123)
One atom of each set of equivalent atoms:
Sr 0.0000 0.5000 0.0000  2 Au 3.12
Nb 0.0000 0.0000 0.5000  8 Sr 3.67, 2 Nb 3.86
Au 0.5000 0.5000 0.0000  2 N 1.93
N 0.5000 0.5000 0.5000  2 Au 1.93

---

[19]
An optimized crystal structure of La3Zn2Pt4. Source: Alexandria, functional PBE.

Output
Energy of formation from the pure elements = -0.9899 eV/atom
E = -100.81 eV per cell

a b c (Å): 11.5553 4.3204 8.8991
angles (deg): 90.00 115.00 90.00
Last column: nearest neighbours and their distance in Å.
Space group C2/m (No. 12)
One atom of each set of equivalent atoms:
La 0.0000 0.0000 0.0000  6 Pt 3.07-3.38
La 0.1399 0.5000 0.6954  7 Pt 3.01-3.17, 3 Zn 3.22-3.33
Zn 0.1642 0.5000 0.3355  4 Pt 2.58-2.86
Pt 0.0801 0.0000 0.4123  3 Zn 2.58-2.86, 1 Pt 2.88
Pt 0.2052 0.5000 0.0704  1 Zn 2.60, 2 Pt 2.90

---

[20]
An optimized crystal structure of TaInSnS2. Source: Alexandria, functional PBE.

Output
Raw formation energy = -0.05 eV/atom
E = -27.12 eV per cell

a b c (Å): 4.8095 4.8095 5.9809
angles (deg): 90.00 90.00 90.00
Last column: nearest neighbours and their distance in Å.
Space group P4/mmm (No. 123)
One atom of each set of equivalent atoms:
Ta 0.0000 0.0000 0.0000  4 S 2.40
In 0.0000 0.0000 0.5000  2 Ta 2.99
Sn 0.5000 0.5000 0.5000  4 In 3.40
S 0.0000 0.5000 0.0000  2 Ta 2.40

---

[21]
An optimized crystal structure of K2BeZn. Source: Alexandria, functional PBE.

Output
Energy of formation from the pure elements = 0.6861 eV/atom
E = -8.90 eV per cell
Energy above the lowest structure with this stoichiometry = 1.26 eV/f.u.

a b c (Å): 5.2058 5.2058 8.6391
angles (deg): 90.00 90.00 90.00
Last column: nearest neighbours and their distance in Å.
Space group I-4m2 (No. 119)
One atom of each set of equivalent atoms:
K 0.0000 0.0000 0.0000  4 K 3.38, 4 Zn 3.38, 4 Be 3.68
K 0.0000 0.5000 0.2500  4 K 3.38, 4 Be 3.38, 4 Zn 3.68
Be 0.0000 0.0000 0.5000  8 K 3.38-3.68, 4 Zn 3.38
Zn 0.0000 0.5000 0.7500  8 K 3.38-3.68, 4 Be 3.38

---

[22]
An optimized crystal structure of Nb3PtPb. Source: Alexandria, functional PBE.

Output
Energy of formation from the pure elements = 2.1070 eV/atom
E = -29.42 eV per cell
Energy above the lowest structure with this stoichiometry = 6.24 eV/f.u.

a b c (Å): 5.0557 5.0557 5.0557
angles (deg): 90.00 90.00 90.00
Last column: nearest neighbours and their distance in Å.
Space group Pm-3m (No. 221)
One atom of each set of equivalent atoms:
Nb 0.0000 0.0000 0.5000  2 Pb 2.53
Pt 0.5000 0.5000 0.5000  12 Nb 3.57
Pb 0.0000 0.0000 0.0000  6 Nb 2.53

---

[23]
An optimized crystal structure of Tl3B2O4. Source: Alexandria, functional PBE.

Output
Raw formation energy = -1.18 eV/atom
E = -101.75 eV per cell
Energy above the lowest structure with this stoichiometry = 3.24 eV/f.u.

a b c (Å): 14.0981 2.6878 10.4317
angles (deg): 90.00 116.35 90.00
Last column: nearest neighbours and their distance in Å.
Space group C2/m (No. 12)
One atom of each set of equivalent atoms:
Tl 0.0000 0.0000 0.0000  2 Tl 2.69, 4 O 2.86
Tl 0.0025 0.0000 0.6779  2 O 2.56, 2 Tl 2.69
B 0.2325 0.5000 0.3308  1 O 1.33
O 0.1275 0.5000 0.2626  1 B 1.33
O 0.2119 0.5000 0.6340  2 B 1.52

---

[24]
An optimized crystal structure of U2MoH. Source: Alexandria, functional PBE.

Output
E = -104.06 eV per cell

a b c (Å): 3.0195 3.0195 26.0811
angles (deg): 90.00 90.00 120.00
Last column: nearest neighbours and their distance in Å.
Space group R-3m (No. 166, hexagonal axes)
One atom of each set of equivalent atoms:
U 0.0000 0.0000 0.0779  1 H 2.03
Mo 0.0000 0.0000 0.5000  6 U 2.90, 6 Mo 3.02
H 0.0000 0.0000 0.0000  2 U 2.03

---

[25]
An optimized crystal structure of Ce4GeAu. Source: Alexandria, functional PBE.

Output
Energy of formation from the pure elements = -0.4120 eV/atom
E = -68.20 eV per cell
Energy above the lowest structure with this stoichiometry = 0.00 eV/f.u.

a b c (Å): 7.1693 7.1693 5.9067
angles (deg): 90.00 90.00 90.00
Last column: nearest neighbours and their distance in Å.
Space group P4/mcc (No. 124)
One atom of each set of equivalent atoms:
Ce 0.1380 0.3563 0.0000  1 Ce 2.86, 2 Ge 3.11, 2 Au 3.16
Ge 0.0000 0.0000 0.2500  2 Ge 2.95, 8 Ce 3.11
Au 0.5000 0.5000 0.2500  2 Au 2.95, 8 Ce 3.16

---

| no. | mass density (g/cm3) |
| --- | --- |
| 1 | 6.3 |
| 2 | 9.7 |
| 3 | 8.2 |
| 4 | 8.5 |
| 5 | 8.1 |
| 6 | 5.0 |
| 7 | 9.1 |
| 8 | 9.7 |
| 9 | 6.5 |
| 10 | 6.2 |
| 11 | 9.9 |
| 12 | 1.6 |
| 13 | 8.4 |
| 14 | 5.5 |
| 15 | 1.7 |
| 16 | 8.0 |
| 17 | 8.3 |
| 18 | 5.3 |
| 19 | 11.0 |
| 20 | 5.7 |
| 21 | 2.2 |
| 22 | 8.8 |
| 23 | 6.6 |
| 24 | 13.9 |
| 25 | 9.1 |